Material: KRbPb
Method: DFT, PBE
State: relaxed

Calculated formation energy = -0.10 eV/atom
Excess energy over the best structure of this formula in the dataset = 0 meV per atom
Crystal system = triclinic
Total magnetization = 0.00 μB/f.u.

Unit cell a=4.934 b=7.407 c=9.948 alpha=78.62 beta=103.60 gamma=90.04
Sites, in units of the cell vectors:
Rb: 0.156 0.784 0.117
Rb: 0.906 0.654 0.591
K: 0.340 0.195 0.446
K: 0.578 0.333 0.950
Pb: 0.510 0.869 0.809
Pb: 0.979 0.127 0.742